1.
The following is a PBE calculation of a relaxed structure of Zn2TcRu, from the Alexandria database.

Computed properties:
V = 113.75 Å³/cell
formation energy from the elements = 18.8 kJ/mol of formula units

Cell: 8.7603 2.7820 4.7125 Å, 90.00 97.94 90.00°
Space group Cm (No. 8)
Symmetry-distinct sites (fractional):
1 Zn 0.0000 0.0000 0.0000 (multiplicity 2)
2 Zn 0.2471 0.0000 0.7873 (multiplicity 2)
3 Tc 0.2523 0.5000 0.2934 (multiplicity 2)
4 Ru 0.4981 0.0000 0.4957 (multiplicity 2)

***

2.
The following is a PBE calculation of a relaxed structure of Zn2TcRu, from the Alexandria database.

Computed properties:
V = 57.26 Å³/cell
formation energy from the elements = 63.2 kJ/mol of formula units

Cell: 2.6880 4.3539 4.9462 Å, 90.00 98.47 90.00°
Space group P2/m (No. 10)
Symmetry-distinct sites (fractional):
1 Zn 0.2287 0.0000 0.2516 (multiplicity 2)
2 Tc 0.5000 0.5000 0.0000 (multiplicity 1)
3 Ru 0.0000 0.5000 0.5000 (multiplicity 1)

***

3.
The following is a PBE calculation of a relaxed structure of ZnTc2Ru, from the Alexandria database.

Computed properties:
V = 57.30 Å³/cell
formation energy from the elements = 41.7 kJ/mol of formula units

Cell: 2.7209 2.7209 7.7394 Å, 90.00 90.00 90.00°
Space group P4/mmm (No. 123)
Symmetry-distinct sites (fractional):
1 Zn 0.0000 0.0000 0.0000 (multiplicity 1)
2 Tc 0.5000 0.5000 0.2556 (multiplicity 2)
3 Ru 0.0000 0.0000 0.5000 (multiplicity 1)

***

4.
The following is a PBE calculation of a relaxed structure of ZnTc2Ru, from the Alexandria database.

Computed properties:
V = 228.94 Å³/cell
formation energy from the elements = 64.0 kJ/mol of formula units

Cell: 6.1175 6.1175 6.1175 Å, 90.00 90.00 90.00°
Space group F-43m (No. 216)
Symmetry-distinct sites (fractional):
1 Zn 0.0000 0.0000 0.0000 (multiplicity 4)
2 Tc 0.0000 0.0000 0.5000 (multiplicity 4)
3 Tc 0.2500 0.2500 0.2500 (multiplicity 4)
4 Ru 0.2500 0.2500 0.7500 (multiplicity 4)

***

5.
The following is a PBE calculation of a relaxed structure of ZnTc2Ru, from the Alexandria database.

Computed properties:
V = 256.27 Å³/cell
formation energy from the elements = 266.4 kJ/mol of formula units

Cell: 7.0937 7.0937 5.0926 Å, 90.00 90.00 90.00°
Space group I-42d (No. 122)
Symmetry-distinct sites (fractional):
1 Zn 0.0000 0.0000 0.0000 (multiplicity 4)
2 Tc 0.2206 0.2500 0.6250 (multiplicity 8)
3 Ru 0.0000 0.0000 0.5000 (multiplicity 4)

***

6.
The following is a PBE calculation of a relaxed structure of ZnTc2Ru, from the Alexandria database.

Computed properties:
V = 57.03 Å³/cell
formation energy from the elements = 88.1 kJ/mol of formula units

Cell: 3.7538 3.7538 4.0472 Å, 90.00 90.00 90.00°
Space group P4/mmm (No. 123)
Symmetry-distinct sites (fractional):
1 Zn 0.0000 0.0000 0.0000 (multiplicity 1)
2 Tc 0.0000 0.5000 0.5000 (multiplicity 2)
3 Ru 0.5000 0.5000 0.0000 (multiplicity 1)

***

7.
The following is a PBE calculation of a relaxed structure of ZnTcRu2, from the Alexandria database.

Computed properties:
V = 56.32 Å³/cell
formation energy from the elements = 27.7 kJ/mol of formula units

Cell: 2.7634 3.7785 5.3944 Å, 90.00 90.03 90.00°
Space group P2/m (No. 10)
Symmetry-distinct sites (fractional):
1 Zn 0.0000 0.0000 0.0000 (multiplicity 1)
2 Tc 0.0000 0.0000 0.5000 (multiplicity 1)
3 Ru 0.4980 0.5000 0.2490 (multiplicity 2)

***

8.
The following is a PBE calculation of a relaxed structure of ZnTc2Ru, from the Alexandria database.

Computed properties:
V = 114.72 Å³/cell
formation energy from the elements = 47.9 kJ/mol of formula units

Cell: 9.2304 2.7658 4.5788 Å, 90.00 101.07 90.00°
Space group C2/m (No. 12)
Symmetry-distinct sites (fractional):
1 Zn 0.0000 0.0000 0.0000 (multiplicity 2)
2 Tc 0.2425 0.0000 0.7429 (multiplicity 4)
3 Ru 0.0000 0.5000 0.5000 (multiplicity 2)